Record 1
Compound: NaHfTl
Source: the Alexandria database
Functional: PBE
Structure: optimized geometry

```
NaHfTl
1.0
5.173 0.000 0.000
-2.587 4.480 0.000
0.000 0.000 6.077
Na Hf Tl
2 2 2
Direct
0.000 0.000 0.000
0.000 0.000 0.500
0.333 0.667 0.250
0.667 0.333 0.750
0.333 0.667 0.750
0.667 0.333 0.250
```

Computed properties:
The density of states at the Fermi level is 0.2281 states/eV/atom. The total energy is -4.24 eV per atom.

=====

Record 2
Compound: KCrSi2
Source: the Alexandria database
Functional: PBE
Structure: optimized geometry

```
KCrSi2
1.0
2.604 0.000 0.000
0.000 6.402 0.000
0.000 0.000 10.467
K Cr Si
2 2 4
Direct
0.000 0.000 0.000
0.500 0.500 0.500
0.000 0.000 0.500
0.500 0.500 0.000
0.000 0.500 0.193
0.000 0.500 0.807
0.500 0.000 0.307
0.500 0.000 0.693
```

Computed properties:
The density of states at the Fermi level is 0.2864 states/eV/atom. As for the energy relative to the elements, uncorrected: 0.630 eV/atom.

=====

Question: Which formula does entry 1 have?
Answer: NaHfTl

=====

Question: What is the formula in the second record?
Answer: KCrSi2